Tb6Pr3Er2: relaxed, PBE-GGA.

Results
As for the energy of formation: 0.424 kcal/mol of atoms. The volume is 32.7 Å³ per atom. The space group is R-3m. For the excess energy over the best structure of this formula in the dataset, the calculation gives 0 kJ/mol of formula units.

a b c (Å): 3.595 3.595 32.227
angles (deg): 86.80 86.80 60.00
Atoms (fractional coordinates):
Tb1 0.907 0.907 0.278
Tb2 0.093 0.093 0.722
Tb3 0.818 0.818 0.545
Tb4 0.182 0.182 0.455
Tb5 0.636 0.636 0.092
Tb6 0.364 0.364 0.908
Pr1 0.000 0.000 0.000
Pr2 0.728 0.728 0.815
Pr3 0.272 0.272 0.185
Er1 0.545 0.545 0.366
Er2 0.455 0.455 0.634

---

TbPr7Er2: relaxed, PBE-GGA.

Results
As for the energy of formation: 14.505 kcal/mol of atoms. The volume is 42.2 Å³ per atom. The space group is Cmmm.

a b c (Å): 5.726 9.372 9.372
angles (deg): 122.87 90.00 90.00
Atoms (fractional coordinates):
Tb1 0.000 0.000 0.000
Pr1 0.000 0.777 0.223
Pr2 0.000 0.223 0.777
Pr3 0.500 0.066 0.294
Pr4 0.500 0.934 0.706
Pr5 0.500 0.294 0.066
Pr6 0.500 0.706 0.934
Pr7 0.500 0.500 0.500
Er1 0.500 0.705 0.295
Er2 0.500 0.295 0.705

---

Tb12Pr7Er: relaxed, PBE-GGA.

Results
As for the energy of formation: 5.219 kcal/mol of atoms. The volume is 34.4 Å³ per atom. The space group is R-3. For the excess energy over the best structure of this formula in the dataset, the calculation gives 0 kJ/mol of formula units.

a b c (Å): 8.847 8.847 8.847
angles (deg): 86.09 86.09 86.09
Atoms (fractional coordinates):
Tb1 0.855 0.249 0.728
Tb2 0.751 0.272 0.145
Tb3 0.615 0.135 0.497
Tb4 0.865 0.503 0.385
Tb5 0.272 0.145 0.751
Tb6 0.503 0.385 0.865
Tb7 0.497 0.615 0.135
Tb8 0.728 0.855 0.249
Tb9 0.135 0.497 0.615
Tb10 0.385 0.865 0.503
Tb11 0.249 0.728 0.855
Tb12 0.145 0.751 0.272
Pr1 0.845 0.601 0.917
Pr2 0.399 0.083 0.155
Pr3 0.083 0.155 0.399
Pr4 0.500 0.500 0.500
Pr5 0.917 0.845 0.601
Pr6 0.601 0.917 0.845
Pr7 0.155 0.399 0.083
Er1 0.000 0.000 0.000

---

Tb12Pr7Er: relaxed, PBE-GGA.

Results
As for the energy of formation: 14.365 kcal/mol of atoms. The volume is 37.1 Å³ per atom. The space group is Im-3. For the excess energy over the best structure of this formula in the dataset, the calculation gives 765 kJ/mol of formula units.

a b c (Å): 9.877 9.877 9.877
angles (deg): 109.47 109.47 109.47
Atoms (fractional coordinates):
Tb1 0.510 0.754 0.755
Tb2 0.999 0.754 0.245
Tb3 0.490 0.246 0.245
Tb4 0.001 0.246 0.755
Tb5 0.755 0.001 0.246
Tb6 0.755 0.510 0.754
Tb7 0.245 0.999 0.754
Tb8 0.245 0.490 0.246
Tb9 0.754 0.755 0.510
Tb10 0.246 0.245 0.490
Tb11 0.754 0.245 0.999
Tb12 0.246 0.755 0.001
Pr1 0.500 0.500 0.000
Pr2 0.000 0.500 0.500
Pr3 0.500 0.000 0.500
Pr4 0.500 0.500 0.500
Pr5 0.000 0.000 0.500
Pr6 0.500 0.000 0.000
Pr7 0.000 0.500 0.000
Er1 0.000 0.000 0.000

---

TbPr2Er: relaxed, PBE-GGA.

Results
As for the energy of formation: 0.572 kcal/mol of atoms. The volume is 34.1 Å³ per atom. The space group is Cmcm. For the excess energy over the best structure of this formula in the dataset, the calculation gives 5 kJ/mol of formula units.

a b c (Å): 5.827 7.325 7.325
angles (deg): 119.39 90.01 90.01
Atoms (fractional coordinates):
Tb1 0.250 0.417 0.583
Tb2 0.750 0.583 0.417
Pr1 0.750 0.584 0.915
Pr2 0.750 0.085 0.416
Pr3 0.250 0.416 0.085
Pr4 0.250 0.915 0.584
Er1 0.250 0.917 0.083
Er2 0.750 0.083 0.917

---

Tb3Pr5Er3: relaxed, PBE-GGA.

Results
As for the energy of formation: 7.096 kcal/mol of atoms. The volume is 35.1 Å³ per atom. The space group is P-62m.

a b c (Å): 3.467 11.333 11.333
angles (deg): 120.00 90.00 90.00
Atoms (fractional coordinates):
Tb1 0.000 0.597 0.000
Tb2 0.000 0.000 0.597
Tb3 0.000 0.403 0.403
Pr1 0.500 0.667 0.333
Pr2 0.500 0.333 0.667
Pr3 0.500 0.338 0.000
Pr4 0.500 0.662 0.662
Pr5 0.500 0.000 0.338
Er1 0.500 0.841 0.000
Er2 0.500 0.159 0.159
Er3 0.500 0.000 0.841